A plane-wave DFT calculation with GGA-PBEsol was carried out for a relaxed structure of Ca2Fe2Si.

abc: 9.531 9.531 9.531
angles: 160.35 160.35 27.93
Atoms (fractional coordinates):
Ca  0.108  0.108  0.000
Ca  0.892  0.892  0.000
Fe  0.250  0.750  0.500
Fe  0.750  0.250  0.500
Si  0.500  0.500  0.000

Results
* magnetization: 4.2 μB/cell
* E_form (uncorrected): 1.1 eV/f.u.
* space-group type: I4/mmm (139)